Here is a relaxed structure of CeGdRuPb from Alexandria. Energies are from PBE.

```
CeGdRuPb
1.0
-0.2237 -2.0404 4.7833
4.0645 0.4609 3.2187
-0.3087 3.1254 4.1508
Ru Pb Gd Ce
1 1 1 1
direct
0.0000 0.0000 0.0000
0.5000 0.5000 0.5000
0.7500 0.7500 0.7500
0.2500 0.2500 0.2500
```

Calculated values
Spin magnetization (μB per formula unit): 7.45
Calculated formation energy (eV/f.u.): -0.67
SG: No. 216


Here is a relaxed structure of TlCo2Cu from Alexandria. Energies are from PBE.

```
TlCo2Cu
1.0
3.4048 0.0000 0.0000
0.0000 2.8736 0.5494
0.0000 1.7837 6.2288
Cu Co Tl
1 2 1
direct
0.5000 0.2500 0.2500
0.0000 0.5481 0.4526
0.0000 0.9519 0.0474
0.5000 0.7500 0.7500
```

Calculated values
Spin magnetization (μB per formula unit): 2.83
Calculated formation energy (eV/f.u.): 1.92
Offset from the most stable computed form (meV per atom): 109
SG: No. 47


Which formula does entry 2 have?
TlCo2Cu